1.
A geometry-optimized NaAl2In structure, computed with PBE.

Summary:
* DOS(E_F): 4.479 states/eV/cell
* formation enthalpy at 0 K: 28.3 kJ per mole of atoms
* crystal system: tetragonal

Cell lengths 11.0062, 11.0062, 11.0062 Å; angles 157.96, 157.96, 31.36 degrees
Sites, in units of the cell vectors:
Na 0.0000 0.0000 0.0000
Na 0.7500 0.2500 0.5000
Al 0.1296 0.6250 0.0046
Al 0.3750 0.3796 0.5046
Al 0.6204 0.1250 0.9954
Al 0.8750 0.8704 0.4954
In 0.2500 0.7500 0.5000
In 0.5000 0.5000 0.0000


2.
A geometry-optimized Ba2NbSeN structure, computed with PBE.

Summary:
* formation energy from raw total energies: 0.721 eV/atom
* DOS(E_F): 6.287 states/eV/cell
* crystal system: tetragonal

Cell lengths 6.1856, 6.1856, 4.8496 Å; angles 90.00, 90.00, 90.00 degrees
Sites, in units of the cell vectors:
Ba 0.0000 0.5000 0.0000
Ba 0.5000 0.0000 0.0000
Nb 0.0000 0.0000 0.5000
Se 0.0000 0.0000 0.0000
N 0.5000 0.5000 0.5000


Number 1: calculated total energy -20.7 eV for the cell shown. Number 2: calculated total energy -22.1 eV for the cell shown.